A plane-wave DFT calculation with PBE+U was carried out for Sm2VO after structural relaxation.

```
4
Lattice="3.445 0.000 0.000 1.722 2.983 0.000 1.722 0.994 9.000" Properties=species:S:1:pos:R:3 pbc="T T T"
O 3.445 1.989 4.500
Sm 1.722 0.994 5.929
Sm 5.167 2.983 3.071
V 0.000 0.000 0.000
```

- final energy (eV per atom) = -6.082
- total magnetic moment (μB per atom) = 0.74